No. 1
This record from Alexandria via LeMat-Bulk describes an optimized crystal structure of Pr3SmAs3. The functional is PBE.

CIF file:
```
data_Pr3SmAs3
_symmetry_space_group_name_H-M 'P 1'
_symmetry_Int_Tables_number 1
_symmetry_space_group_name_Hall 'P 1'
_cell_length_a 9.074
_cell_length_b 9.074
_cell_length_c 9.074
_cell_angle_alpha 90.00
_cell_angle_beta 90.00
_cell_angle_gamma 90.00
loop_
_atom_site_label
_atom_site_type_symbol
_atom_site_fract_x
_atom_site_fract_y
_atom_site_fract_z
_atom_site_occupancy
As1 As 0.127 0.501 0.247 1
As2 As 0.753 0.627 0.999 1
As3 As 0.501 0.247 0.127 1
Sm1 Sm 0.066 0.566 0.934 1
Pr1 Pr 0.184 0.184 0.184 1
Pr2 Pr 0.817 0.317 0.183 1
As4 As 0.627 0.999 0.753 1
As5 As 0.253 0.873 0.001 1
As6 As 0.747 0.373 0.499 1
Pr3 Pr 0.316 0.816 0.684 1
As7 As 0.873 0.001 0.253 1
Pr4 Pr 0.183 0.817 0.317 1
Sm2 Sm 0.566 0.934 0.066 1
As8 As 0.499 0.747 0.373 1
As9 As 0.373 0.499 0.747 1
Pr5 Pr 0.684 0.316 0.816 1
Pr6 Pr 0.935 0.935 0.935 1
Pr7 Pr 0.683 0.683 0.683 1
Pr8 Pr 0.435 0.565 0.065 1
As10 As 0.001 0.253 0.873 1
As11 As 0.999 0.753 0.627 1
Pr9 Pr 0.816 0.684 0.316 1
As12 As 0.247 0.127 0.501 1
Sm3 Sm 0.434 0.434 0.434 1
Pr10 Pr 0.065 0.435 0.565 1
Pr11 Pr 0.317 0.183 0.817 1
Sm4 Sm 0.934 0.066 0.566 1
Pr12 Pr 0.565 0.065 0.435 1
```

Computed properties:
D(E_F) in states/eV per atom: 0.99
Magnetization in μB/atom: 0.000
Volume in Å³/atom: 26.7
Calculated total energy in eV per atom: -5.98



No. 2
This record from Alexandria via LeMat-Bulk describes an optimized crystal structure of Pr3SmAs4. The functional is PBE.

CIF file:
```
data_Pr3SmAs4
_symmetry_space_group_name_H-M 'P 1'
_symmetry_Int_Tables_number 1
_symmetry_space_group_name_Hall 'P 1'
_cell_length_a 4.288
_cell_length_b 7.420
_cell_length_c 7.420
_cell_angle_alpha 109.45
_cell_angle_beta 90.00
_cell_angle_gamma 90.00
loop_
_atom_site_label
_atom_site_type_symbol
_atom_site_fract_x
_atom_site_fract_y
_atom_site_fract_z
_atom_site_occupancy
Pr1 Pr 0.000 0.000 0.500 1
As1 As 0.500 0.752 0.248 1
Pr2 Pr 0.500 0.500 0.500 1
As2 As 0.000 0.246 0.246 1
As3 As 0.500 0.248 0.752 1
Sm1 Sm 0.500 0.000 0.000 1
Pr3 Pr 0.000 0.500 0.000 1
As4 As 0.000 0.754 0.754 1
```

Computed properties:
D(E_F) in states/eV per atom: 0.09
Magnetization in μB/atom: 0.000
Volume in Å³/atom: 27.8
Calculated total energy in eV per atom: -6.21



No. 3
This record from Alexandria via LeMat-Bulk describes an optimized crystal structure of PrSm4As5. The functional is PBE.

CIF file:
```
data_PrSm4As5
_symmetry_space_group_name_H-M 'P 1'
_symmetry_Int_Tables_number 1
_symmetry_space_group_name_Hall 'P 1'
_cell_length_a 4.237
_cell_length_b 5.985
_cell_length_c 11.198
_cell_angle_alpha 105.50
_cell_angle_beta 100.90
_cell_angle_gamma 90.00
loop_
_atom_site_label
_atom_site_type_symbol
_atom_site_fract_x
_atom_site_fract_y
_atom_site_fract_z
_atom_site_occupancy
Sm1 Sm 0.400 0.400 0.799 1
As1 As 0.602 0.102 0.204 1
As2 As 0.398 0.898 0.796 1
As3 As 0.200 0.700 0.400 1
Pr1 Pr 0.000 0.000 0.000 1
As4 As 0.800 0.300 0.600 1
Sm2 Sm 0.799 0.799 0.598 1
Sm3 Sm 0.201 0.201 0.402 1
As5 As 0.000 0.500 0.000 1
Sm4 Sm 0.600 0.600 0.201 1
```

Computed properties:
D(E_F) in states/eV per atom: 0.17
Magnetization in μB/atom: 0.000
Volume in Å³/atom: 26.8
Calculated total energy in eV per atom: -6.21



No. 4
This record from Alexandria via LeMat-Bulk describes an optimized crystal structure of PrSm2As. The functional is PBE.

CIF file:
```
data_PrSm2As
_symmetry_space_group_name_H-M 'P 1'
_symmetry_Int_Tables_number 1
_symmetry_space_group_name_Hall 'P 1'
_cell_length_a 3.973
_cell_length_b 3.973
_cell_length_c 9.806
_cell_angle_alpha 78.31
_cell_angle_beta 78.31
_cell_angle_gamma 60.00
loop_
_atom_site_label
_atom_site_type_symbol
_atom_site_fract_x
_atom_site_fract_y
_atom_site_fract_z
_atom_site_occupancy
Pr1 Pr 0.500 0.500 0.499 1
Sm1 Sm 0.061 0.061 0.816 1
Sm2 Sm 0.272 0.272 0.184 1
As1 As 0.666 0.666 0.001 1
```

Computed properties:
ΔE to the lowest computed polymorph in eV per atom: 0.000
D(E_F) in states/eV per atom: 1.01
Magnetization in μB/atom: 0.018
Volume in Å³/atom: 32.6



No. 5
This record from Alexandria via LeMat-Bulk describes an optimized crystal structure of Pr5SmAs6. The functional is PBE.

CIF file:
```
data_Pr5SmAs6
_symmetry_space_group_name_H-M 'P 1'
_symmetry_Int_Tables_number 1
_symmetry_space_group_name_Hall 'P 1'
_cell_length_a 7.437
_cell_length_b 7.438
_cell_length_c 7.436
_cell_angle_alpha 59.99
_cell_angle_beta 80.40
_cell_angle_gamma 70.51
loop_
_atom_site_label
_atom_site_type_symbol
_atom_site_fract_x
_atom_site_fract_y
_atom_site_fract_z
_atom_site_occupancy
Pr1 Pr 0.000 0.334 0.333 1
As1 As 0.248 0.917 0.670 1
As2 As 0.248 0.248 0.000 1
As3 As 0.752 0.752 0.000 1
Pr2 Pr 0.500 0.833 0.334 1
Pr3 Pr 0.500 0.167 0.666 1
As4 As 0.752 0.083 0.330 1
Pr4 Pr 0.000 0.666 0.667 1
Pr5 Pr 0.500 0.500 0.000 1
As5 As 0.752 0.413 0.670 1
Sm1 Sm 0.000 0.000 0.000 1
As6 As 0.248 0.587 0.330 1
```

Computed properties:
D(E_F) in states/eV per atom: 0.08
Magnetization in μB/atom: 0.000
Volume in Å³/atom: 28.0
Calculated total energy in eV per atom: -6.21



No. 6
This record from Alexandria via LeMat-Bulk describes an optimized crystal structure of PrSm2As. The functional is PBE.

CIF file:
```
data_PrSm2As
_symmetry_space_group_name_H-M 'P 1'
_symmetry_Int_Tables_number 1
_symmetry_space_group_name_Hall 'P 1'
_cell_length_a 3.955
_cell_length_b 3.955
_cell_length_c 9.887
_cell_angle_alpha 78.46
_cell_angle_beta 78.46
_cell_angle_gamma 60.00
loop_
_atom_site_label
_atom_site_type_symbol
_atom_site_fract_x
_atom_site_fract_y
_atom_site_fract_z
_atom_site_occupancy
As1 As 0.000 0.000 0.000 1
Pr1 Pr 0.500 0.500 0.500 1
Sm1 Sm 0.272 0.272 0.183 1
Sm2 Sm 0.728 0.728 0.817 1
```

Computed properties:
ΔE to the lowest computed polymorph in eV per atom: 0.008
D(E_F) in states/eV per atom: 0.86
Magnetization in μB/atom: 0.000
Volume in Å³/atom: 32.6



No. 7
This record from Alexandria via LeMat-Bulk describes an optimized crystal structure of Pr3SmAs4. The functional is PBE.

CIF file:
```
data_Pr3SmAs4
_symmetry_space_group_name_H-M 'P 1'
_symmetry_Int_Tables_number 1
_symmetry_space_group_name_Hall 'P 1'
_cell_length_a 6.059
_cell_length_b 6.059
_cell_length_c 6.059
_cell_angle_alpha 90.00
_cell_angle_beta 90.00
_cell_angle_gamma 90.00
loop_
_atom_site_label
_atom_site_type_symbol
_atom_site_fract_x
_atom_site_fract_y
_atom_site_fract_z
_atom_site_occupancy
As1 As 0.000 0.000 0.500 1
Pr1 Pr 0.000 0.500 0.500 1
As2 As 0.000 0.500 0.000 1
As3 As 0.500 0.500 0.500 1
Pr2 Pr 0.500 0.000 0.500 1
Sm1 Sm 0.000 0.000 0.000 1
As4 As 0.500 0.000 0.000 1
Pr3 Pr 0.500 0.500 0.000 1
```

Computed properties:
D(E_F) in states/eV per atom: 0.09
Magnetization in μB/atom: 0.000
Volume in Å³/atom: 27.8
Calculated total energy in eV per atom: -6.21



No. 8
This record from Alexandria via LeMat-Bulk describes an optimized crystal structure of TbPr3Sm2As6. The functional is PBE.

CIF file:
```
data_TbPr3Sm2As6
_symmetry_space_group_name_H-M 'P 1'
_symmetry_Int_Tables_number 1
_symmetry_space_group_name_Hall 'P 1'
_cell_length_a 4.252
_cell_length_b 8.496
_cell_length_c 9.499
_cell_angle_alpha 102.91
_cell_angle_beta 102.93
_cell_angle_gamma 90.00
loop_
_atom_site_label
_atom_site_type_symbol
_atom_site_fract_x
_atom_site_fract_y
_atom_site_fract_z
_atom_site_occupancy
Sm1 Sm 0.834 0.667 0.668 1
Pr1 Pr 0.500 0.500 0.000 1
Pr2 Pr 0.833 0.166 0.666 1
Sm2 Sm 0.166 0.333 0.332 1
Pr3 Pr 0.167 0.834 0.334 1
As1 As 0.332 0.420 0.664 1
As2 As 0.668 0.580 0.336 1
As3 As 0.001 0.244 0.002 1
Tb1 Tb 0.500 0.000 0.000 1
As4 As 0.664 0.086 0.328 1
As5 As 0.999 0.756 0.998 1
As6 As 0.336 0.914 0.672 1
```

Computed properties:
D(E_F) in states/eV per atom: 0.14
Magnetization in μB/atom: 0.000
Volume in Å³/atom: 27.1
Calculated total energy in eV per atom: -6.20



No. 9
This record from Alexandria via LeMat-Bulk describes an optimized crystal structure of Tb3PrSm2As6. The functional is PBE.

CIF file:
```
data_Tb3PrSm2As6
_symmetry_space_group_name_H-M 'P 1'
_symmetry_Int_Tables_number 1
_symmetry_space_group_name_Hall 'P 1'
_cell_length_a 4.195
_cell_length_b 8.383
_cell_length_c 9.373
_cell_angle_alpha 102.90
_cell_angle_beta 102.93
_cell_angle_gamma 90.00
loop_
_atom_site_label
_atom_site_type_symbol
_atom_site_fract_x
_atom_site_fract_y
_atom_site_fract_z
_atom_site_occupancy
Pr1 Pr 0.500 0.000 0.000 1
Sm1 Sm 0.167 0.334 0.334 1
As1 As 0.666 0.586 0.331 1
As2 As 0.331 0.919 0.662 1
Tb1 Tb 0.834 0.167 0.667 1
As3 As 0.334 0.414 0.669 1
As4 As 0.669 0.081 0.338 1
Sm2 Sm 0.833 0.666 0.666 1
As5 As 0.999 0.257 0.998 1
Tb2 Tb 0.166 0.833 0.333 1
As6 As 0.001 0.743 0.002 1
Tb3 Tb 0.500 0.500 0.000 1
```

Computed properties:
D(E_F) in states/eV per atom: 0.15
Magnetization in μB/atom: 0.000
Volume in Å³/atom: 26.1
Calculated total energy in eV per atom: -6.19



No. 10
This record from Alexandria via LeMat-Bulk describes an optimized crystal structure of TbPr2Sm3As6. The functional is PBE.

CIF file:
```
data_TbPr2Sm3As6
_symmetry_space_group_name_H-M 'P 1'
_symmetry_Int_Tables_number 1
_symmetry_space_group_name_Hall 'P 1'
_cell_length_a 4.236
_cell_length_b 8.467
_cell_length_c 9.466
_cell_angle_alpha 102.94
_cell_angle_beta 102.93
_cell_angle_gamma 90.00
loop_
_atom_site_label
_atom_site_type_symbol
_atom_site_fract_x
_atom_site_fract_y
_atom_site_fract_z
_atom_site_occupancy
Pr1 Pr 0.834 0.668 0.669 1
Pr2 Pr 0.166 0.332 0.331 1
As1 As 0.665 0.079 0.330 1
As2 As 0.335 0.414 0.669 1
Sm1 Sm 0.500 0.500 0.000 1
As3 As 0.998 0.246 0.997 1
Sm2 Sm 0.833 0.166 0.666 1
Sm3 Sm 0.167 0.834 0.334 1
As4 As 0.665 0.586 0.331 1
Tb1 Tb 0.500 0.000 0.000 1
As5 As 0.002 0.754 0.003 1
As6 As 0.335 0.921 0.670 1
```

Computed properties:
D(E_F) in states/eV per atom: 0.15
Magnetization in μB/atom: 0.000
Volume in Å³/atom: 26.8
Calculated total energy in eV per atom: -6.20



No. 11
This record from Alexandria via LeMat-Bulk describes an optimized crystal structure of TbPr2SmAs4. The functional is PBE.

CIF file:
```
data_TbPr2SmAs4
_symmetry_space_group_name_H-M 'P 1'
_symmetry_Int_Tables_number 1
_symmetry_space_group_name_Hall 'P 1'
_cell_length_a 4.246
_cell_length_b 7.346
_cell_length_c 7.348
_cell_angle_alpha 70.54
_cell_angle_beta 90.00
_cell_angle_gamma 90.00
loop_
_atom_site_label
_atom_site_type_symbol
_atom_site_fract_x
_atom_site_fract_y
_atom_site_fract_z
_atom_site_occupancy
Pr1 Pr 0.500 0.000 0.500 1
Pr2 Pr 0.000 0.000 0.000 1
As1 As 0.500 0.741 0.255 1
As2 As 0.000 0.743 0.750 1
Sm1 Sm 0.500 0.500 0.000 1
As3 As 0.500 0.259 0.745 1
As4 As 0.000 0.257 0.250 1
Tb1 Tb 0.000 0.500 0.500 1
```

Computed properties:
D(E_F) in states/eV per atom: 0.09
Magnetization in μB/atom: 0.000
Volume in Å³/atom: 27.0
Calculated total energy in eV per atom: -6.20



- Look up the magnetization of the eleventh one.
  0.000 μB/atom